Material: KCuSb2
Method: DFT, PBE
State: optimized geometry

```
KCuSb2
1.0
-1.458 6.109 -3.818
-3.997 -4.551 0.132
-2.093 1.876 1.293
Cu K Sb
1 1 2
Cartesian
-3.045 -1.338 0.712
-2.728 0.779 -1.843
0.000 0.000 0.000
-1.776 3.993 -1.263
```

## Properties
The uncorrected formation energy comes out at 22.4 kJ/mol of atoms. The calculation puts the density of states at the Fermi level at 0.49 states/eV/atom. The value obtained for the electronic total energy is -3.13 eV per atom.